1.
ZrIn2Os: optimized geometry, PBE-GGA.

total magnetization	0.00	μB per formula unit
total energy	-24.8	eV/f.u.

Cell lengths 5.794, 5.794, 5.794 Å; angles 147.81, 128.36, 62.17 degrees
Sites, in units of the cell vectors:
Zr 0.750 0.250 0.500
In 0.021 0.021 0.000
In 0.479 0.479 0.000
Os 0.250 0.750 0.500

---

2.
CaVCoS2: optimized geometry, PBE-GGA.

total magnetization	3.06	μB per formula unit
ΔE_f (raw)	282	meV per atom

Cell lengths 4.572, 4.517, 4.572 Å; angles 90.00, 90.00, 90.00 degrees
Sites, in units of the cell vectors:
S 0.000 0.000 0.500
V 0.500 0.500 0.500
Ca 0.000 0.500 0.000
Co 0.000 0.000 0.000
S 0.500 0.000 0.000